(1)
First-principles (PBE) data for a relaxed Li2LaB2 crystal, as listed in Alexandria.

Values from the calculation:
- symmetry = I4/mmm
- final energy (eV/cell) = -22.00
- magnetic moment (μB per formula unit) = 0.0

Cell lengths 4.0041, 4.0041, 5.5413 Å; angles 68.82, 68.82, 90.00 degrees
With the nearest neighbours (Å) after each atom.
Fractional coordinates of all 5 atoms:
La (0.0000, 0.0000, 0.0000)  8 B 2.94, 8 Li 3.11
B (0.5834, 0.5834, 0.8332)  1 B 1.59
Li (0.7500, 0.2500, 0.5000)  4 B 2.55, 4 Li 2.83
B (0.4166, 0.4166, 0.1668)  1 B 1.59
Li (0.2500, 0.7500, 0.5000)  4 B 2.55, 4 Li 2.83

(2)
First-principles (PBE) data for a relaxed LiLaB3 crystal, as listed in Alexandria.

Values from the calculation:
- symmetry = Pm-3m
- final energy (eV/cell) = -16.53
- magnetic moment (μB per formula unit) = 0.0

Cell lengths 4.8520, 4.8520, 4.8520 Å; angles 90.00, 90.00, 90.00 degrees
With the nearest neighbours (Å) after each atom.
Fractional coordinates of all 5 atoms:
La (0.0000, 0.0000, 0.0000)  6 B 2.43
B (0.5000, 0.0000, 0.0000)  2 La 2.43
Li (0.5000, 0.5000, 0.5000)  12 B 3.43
B (0.0000, 0.0000, 0.5000)  2 La 2.43
B (0.0000, 0.5000, 0.0000)  2 La 2.43